An optimized crystal structure of PrVO4F, computed with PBE+U.

Properties
Raw total energy ... -7.28 eV/atom
Crystal system ... monoclinic
Total magnetic moment ... 0.00 μB per atom
Mass density ... 3.8 g/cm3

abc: 9.824 7.467 6.655
angles: 90.00 98.47 90.00
Space group C2/m (No. 12)
Asymmetric unit:
Pr: 0.195 0.000 0.089
V: 0.122 0.500 0.287
O: 0.058 0.500 0.754
O: 0.184 0.500 0.547
O: 0.185 0.321 0.161
F: 0.021 0.000 0.807